No. 1
# AlCuTe, PBEsol geometry, DFT meta-GGA SCAN
# magnetic moment = 0.00 μB/f.u.
# uncorrected formation energy = 0.234 eV per atom
# total energy = -19.8339 eV/atom
# space-group type = No. 107
data_AlCuTe
_cell_length_a 6.297
_cell_length_b 6.297
_cell_length_c 6.297
_cell_angle_alpha 151.54
_cell_angle_beta 151.54
_cell_angle_gamma 40.68
_space_group_name_H-M_alt 'P 1'
_space_group_IT_number 1
loop_
_space_group_symop_operation_xyz
'x,y,z'
loop_
_atom_site_label
_atom_site_type_symbol
_atom_site_fract_x
_atom_site_fract_y
_atom_site_fract_z
_atom_site_occupancy
Al1 Al 0.000 0.000 0.000 1
Cu1 Cu 0.608 0.608 0.000 1
Te1 Te 0.288 0.288 0.000 1

No. 2
# AlCuTe2, PBEsol geometry, DFT meta-GGA SCAN
# magnetic moment = 0.00 μB/f.u.
# uncorrected formation energy = 0.330 eV per atom
# total energy = -24.0330 eV/atom
# space-group type = No. 123
data_AlCuTe2
_cell_length_a 3.424
_cell_length_b 3.424
_cell_length_c 7.052
_cell_angle_alpha 90.00
_cell_angle_beta 90.00
_cell_angle_gamma 90.00
_space_group_name_H-M_alt 'P 1'
_space_group_IT_number 1
loop_
_space_group_symop_operation_xyz
'x,y,z'
loop_
_atom_site_label
_atom_site_type_symbol
_atom_site_fract_x
_atom_site_fract_y
_atom_site_fract_z
_atom_site_occupancy
Al1 Al 0.000 0.000 0.000 1
Cu1 Cu 0.000 0.000 0.500 1
Te1 Te 0.500 0.500 0.263 1
Te2 Te 0.500 0.500 0.737 1

No. 3
# AlCuTe2, PBEsol geometry, DFT meta-GGA SCAN
# magnetic moment = 0.00 μB/f.u.
# uncorrected formation energy = -0.101 eV per atom
# total energy = -24.4640 eV/atom
# space-group type = No. 8
data_AlCuTe2
_cell_length_a 7.272
_cell_length_b 7.272
_cell_length_c 3.739
_cell_angle_alpha 90.07
_cell_angle_beta 90.07
_cell_angle_gamma 29.73
_space_group_name_H-M_alt 'P 1'
_space_group_IT_number 1
loop_
_space_group_symop_operation_xyz
'x,y,z'
loop_
_atom_site_label
_atom_site_type_symbol
_atom_site_fract_x
_atom_site_fract_y
_atom_site_fract_z
_atom_site_occupancy
Al1 Al 0.000 0.000 0.000 1
Cu1 Cu 0.371 0.371 0.516 1
Te1 Te 0.564 0.564 0.500 1
Te2 Te 0.814 0.814 0.014 1

No. 4
# AlCuTe3, PBEsol geometry, DFT meta-GGA SCAN
# magnetic moment = 0.00 μB/f.u.
# uncorrected formation energy = 0.481 eV per atom
# total energy = -26.4601 eV/atom
# space-group type = No. 221
data_AlCuTe3
_cell_length_a 5.099
_cell_length_b 5.099
_cell_length_c 5.099
_cell_angle_alpha 90.00
_cell_angle_beta 90.00
_cell_angle_gamma 90.00
_space_group_name_H-M_alt 'P 1'
_space_group_IT_number 1
loop_
_space_group_symop_operation_xyz
'x,y,z'
loop_
_atom_site_label
_atom_site_type_symbol
_atom_site_fract_x
_atom_site_fract_y
_atom_site_fract_z
_atom_site_occupancy
Al1 Al 0.000 0.000 0.000 1
Cu1 Cu 0.500 0.500 0.500 1
Te1 Te 0.000 0.500 0.500 1
Te2 Te 0.500 0.000 0.500 1
Te3 Te 0.500 0.500 0.000 1

No. 5
# Al2CuTe, PBEsol geometry, DFT meta-GGA SCAN
# magnetic moment = 0.00 μB/f.u.
# uncorrected formation energy = 0.260 eV per atom
# total energy = -16.7290 eV/atom
# space-group type = No. 123
data_Al2CuTe
_cell_length_a 3.891
_cell_length_b 3.891
_cell_length_c 4.918
_cell_angle_alpha 90.00
_cell_angle_beta 90.00
_cell_angle_gamma 90.00
_space_group_name_H-M_alt 'P 1'
_space_group_IT_number 1
loop_
_space_group_symop_operation_xyz
'x,y,z'
loop_
_atom_site_label
_atom_site_type_symbol
_atom_site_fract_x
_atom_site_fract_y
_atom_site_fract_z
_atom_site_occupancy
Al1 Al 0.000 0.500 0.000 1
Al2 Al 0.500 0.000 0.000 1
Cu1 Cu 0.000 0.000 0.500 1
Te1 Te 0.500 0.500 0.500 1

No. 6
# AlCuTe2, PBEsol geometry, DFT meta-GGA SCAN
# magnetic moment = 0.00 μB/f.u.
# uncorrected formation energy = -0.374 eV per atom
# total energy = -24.7371 eV/atom
# space-group type = No. 122
data_AlCuTe2
_cell_length_a 7.323
_cell_length_b 7.323
_cell_length_c 7.323
_cell_angle_alpha 131.67
_cell_angle_beta 131.67
_cell_angle_gamma 70.76
_space_group_name_H-M_alt 'P 1'
_space_group_IT_number 1
loop_
_space_group_symop_operation_xyz
'x,y,z'
loop_
_atom_site_label
_atom_site_type_symbol
_atom_site_fract_x
_atom_site_fract_y
_atom_site_fract_z
_atom_site_occupancy
Al1 Al 0.000 0.000 0.000 1
Al2 Al 0.750 0.250 0.500 1
Cu1 Cu 0.250 0.750 0.500 1
Cu2 Cu 0.500 0.500 0.000 1
Te1 Te 0.138 0.625 0.013 1
Te2 Te 0.375 0.388 0.513 1
Te3 Te 0.612 0.125 0.987 1
Te4 Te 0.875 0.862 0.487 1